[1]
Compound: LuUCo
Source: OQMD via LeMat-Bulk
Functional: PBE-GGA
Structure: relaxed

- SG: F-43m, No. 216
- Size of the total moment: 0.79 μB per atom
- Energy above the most stable polymorph in this dataset: 0.000 eV per atom
- Crystal system: cubic
- E_form: 0.322 eV per atom

Cell: 4.533 4.533 4.533 Å, 60.00 60.00 60.00°
Fractional coordinates of all 3 atoms:
Co  0.000  0.000  0.000
Lu  0.250  0.250  0.250
U  0.750  0.750  0.750


[2]
Compound: SrHgNO
Source: OQMD via LeMat-Bulk
Functional: PBE-GGA
Structure: relaxed

- SG: Cm, No. 8
- Energy above the most stable polymorph in this dataset: 0.067 eV per atom
- Crystal system: monoclinic

Cell: 6.158 6.158 3.881 Å, 94.59 94.59 105.15°
Fractional coordinates of all 8 atoms:
Hg  0.613  0.613  0.051
Hg  0.238  0.238  0.118
N  0.178  0.178  0.604
N  0.896  0.896  0.989
O  0.827  0.406  0.085
O  0.406  0.827  0.085
Sr  0.725  0.118  0.535
Sr  0.118  0.725  0.535


[3]
Compound: Y2Ta4Au3C3
Source: OQMD via LeMat-Bulk
Functional: PBE-GGA
Structure: relaxed

- SG: C2/c, No. 15
- Size of the total moment: 0.00 μB per atom
- Crystal system: monoclinic

Cell: 5.683 5.685 14.440 Å, 89.66 78.65 60.01°
Fractional coordinates of all 24 atoms:
Au  0.165  0.719  0.247
Au  0.692  0.250  0.250
Au  0.630  0.781  0.253
Au  0.370  0.219  0.747
Au  0.308  0.750  0.750
Au  0.835  0.281  0.753
C  0.673  0.173  0.000
C  0.000  0.500  0.000
C  0.327  0.827  0.000
C  0.346  0.327  0.500
C  0.000  0.000  0.500
C  0.654  0.673  0.500
Ta  0.936  0.858  0.078
Ta  0.615  0.537  0.078
Ta  0.730  0.963  0.422
Ta  0.372  0.642  0.422
Ta  0.628  0.358  0.578
Ta  0.270  0.037  0.578
Ta  0.385  0.463  0.922
Ta  0.064  0.142  0.922
Y  0.264  0.195  0.116
Y  0.075  0.305  0.384
Y  0.925  0.695  0.616
Y  0.736  0.805  0.884


[4]
Compound: Ba2ScOsN6
Source: OQMD via LeMat-Bulk
Functional: PBE-GGA
Structure: relaxed

- SG: C2/m, No. 12
- Size of the total moment: 0.00 μB per atom
- Crystal system: monoclinic

Cell: 5.857 5.857 5.859 Å, 60.04 60.03 60.02°
Fractional coordinates of all 10 atoms:
Ba  0.750  0.250  0.250
Ba  0.250  0.750  0.750
N  0.739  0.762  0.234
N  0.265  0.762  0.235
N  0.264  0.233  0.240
N  0.736  0.767  0.760
N  0.735  0.238  0.765
N  0.261  0.238  0.766
Os  0.500  0.000  0.000
Sc  0.000  0.500  0.500


Number 1: energy -7.32 eV per atom. Number 2: energy -4.20 eV per atom. Number 3: energy -8.71 eV per atom. Number 4: energy -7.21 eV per atom.